The following is a DFT calculation (PBE) of a relaxed CeSm3Dy6 crystal.

```
10
Lattice="4.5274 -4.3312 0.0000 4.5274 4.3312 0.0000 -1.6207 0.0000 8.7409" Properties=species:S:1:pos:R:3 pbc="T T T"
Ce 0.0000 0.0000 0.0000
Sm 1.2886 0.0000 6.7296
Sm 3.7171 0.0000 4.3704
Sm 6.1455 0.0000 2.0113
Dy 0.4738 0.0000 3.2419
Dy 3.2028 1.5683 1.2733
Dy 4.2313 1.5683 7.4676
Dy 3.2028 -1.5683 1.2733
Dy 4.2313 -1.5683 7.4676
Dy 6.9604 0.0000 5.4989
```

energy of formation from the pure elements: 3.1 eV/f.u.

The following is a DFT calculation (PBE) of a relaxed FeI4 crystal.

```
5
Lattice="-3.0855 3.0855 5.6603 3.0855 -3.0855 5.6603 3.0855 3.0855 -5.6603" Properties=species:S:1:pos:R:3 pbc="T T T"
Fe 0.0000 0.0000 0.0000
I 1.4468 1.4468 -1.4314
I 1.6387 -1.6387 7.0917
I 1.6387 1.6387 4.2289
I -1.6387 1.6387 7.0917
```

uncorrected formation energy: -0.3 eV per formula unit

The following is a DFT calculation (PBE) of a relaxed SrPN3 crystal.

```
5
Lattice="3.6807 0.0000 0.0000 0.0000 3.6807 0.0000 0.0000 0.0000 3.6807" Properties=species:S:1:pos:R:3 pbc="T T T"
Sr 0.0000 0.0000 0.0000
P 1.8403 1.8403 1.8403
N 0.0000 1.8403 1.8403
N 1.8403 0.0000 1.8403
N 1.8403 1.8403 0.0000
```

uncorrected formation energy: 1.4 eV per formula unit

The following is a DFT calculation (PBE) of a relaxed Ac4ErPb5 crystal.

```
10
Lattice="3.8278 0.0000 0.0000 0.0000 3.8278 0.0000 0.0000 0.0000 23.1400" Properties=species:S:1:pos:R:3 pbc="T T T"
Ac 0.0000 0.0000 2.3987
Ac 0.0000 0.0000 7.1786
Ac 0.0000 0.0000 15.9615
Ac 0.0000 0.0000 20.7413
Er 0.0000 0.0000 11.5700
Pb 1.9139 1.9139 0.0000
Pb 1.9139 1.9139 4.7841
Pb 1.9139 1.9139 9.5663
Pb 1.9139 1.9139 13.5737
Pb 1.9139 1.9139 18.3559
```

energy of formation from the pure elements: -4.6 eV/f.u.

Number 1: calculated total energy -4.460 eV/atom. Number 2: calculated total energy -2.984 eV/atom. Number 3: calculated total energy -6.136 eV/atom. Number 4: calculated total energy -4.415 eV/atom.